<A>
# AsIrN2F, optimized geometry, DFT PBE
# spin magnetization: 0.17 μB per formula unit
data_AsIrN2F
_space_group_name_H-M_alt 'P 1'
_space_group_IT_number 1
_space_group_name_Hall 'P 1'
_cell_length_a 3.9055
_cell_length_b 3.9055
_cell_length_c 3.6985
_cell_angle_alpha 90.00
_cell_angle_beta 90.00
_cell_angle_gamma 90.00
loop_
_atom_site_label
_atom_site_type_symbol
_atom_site_fract_x
_atom_site_fract_y
_atom_site_fract_z
F1 F 0.0000 0.0000 0.5000
N1 N 0.5000 0.0000 0.0000
N2 N 0.0000 0.5000 0.0000
Ir1 Ir 0.5000 0.5000 0.5000
As1 As 0.0000 0.0000 0.0000



<B>
# AsIrN2F, optimized geometry, DFT PBE
# spin magnetization: 0.00 μB per formula unit
data_AsIrN2F
_space_group_name_H-M_alt 'P 1'
_space_group_IT_number 1
_space_group_name_Hall 'P 1'
_cell_length_a 3.8955
_cell_length_b 3.8955
_cell_length_c 4.2201
_cell_angle_alpha 90.00
_cell_angle_beta 90.00
_cell_angle_gamma 90.00
loop_
_atom_site_label
_atom_site_type_symbol
_atom_site_fract_x
_atom_site_fract_y
_atom_site_fract_z
Ir1 Ir 0.0000 0.0000 0.0000
N1 N 0.5000 0.0000 0.0000
F1 F 0.0000 0.0000 0.5000
N2 N 0.0000 0.5000 0.0000
As1 As 0.5000 0.5000 0.5000



Which one is most stable, and which one is least stable? <B> is the most stable of them, while <A> is the least stable.



<A>
# AsIrSe2F, optimized geometry, DFT PBE
# spin magnetization: 0.84 μB per formula unit
data_AsIrSe2F
_space_group_name_H-M_alt 'P 1'
_space_group_IT_number 1
_space_group_name_Hall 'P 1'
_cell_length_a 4.9440
_cell_length_b 4.9440
_cell_length_c 4.7530
_cell_angle_alpha 90.00
_cell_angle_beta 90.00
_cell_angle_gamma 90.00
loop_
_atom_site_label
_atom_site_type_symbol
_atom_site_fract_x
_atom_site_fract_y
_atom_site_fract_z
Ir1 Ir 0.0000 0.0000 0.0000
F1 F 0.5000 0.5000 0.5000
Se1 Se 0.0000 0.5000 0.0000
Se2 Se 0.5000 0.0000 0.0000
As1 As 0.0000 0.0000 0.5000



<B>
# AsIrSe2F, optimized geometry, DFT PBE
# spin magnetization: 0.00 μB per formula unit
data_AsIrSe2F
_space_group_name_H-M_alt 'P 1'
_space_group_IT_number 1
_space_group_name_Hall 'P 1'
_cell_length_a 4.7413
_cell_length_b 4.7413
_cell_length_c 4.0395
_cell_angle_alpha 90.00
_cell_angle_beta 90.00
_cell_angle_gamma 90.00
loop_
_atom_site_label
_atom_site_type_symbol
_atom_site_fract_x
_atom_site_fract_y
_atom_site_fract_z
F1 F 0.0000 0.0000 0.0000
As1 As 0.0000 0.0000 0.5000
Se1 Se 0.5000 0.0000 0.0000
Se2 Se 0.0000 0.5000 0.0000
Ir1 Ir 0.5000 0.5000 0.5000



Which one is most stable, and which one is least stable? <A> is the most stable of them, while <B> is the least stable.



<A>
# KAsNF2, optimized geometry, DFT PBE
# spin magnetization: 1.03 μB per formula unit
data_KAsNF2
_space_group_name_H-M_alt 'P 1'
_space_group_IT_number 1
_space_group_name_Hall 'P 1'
_cell_length_a 4.7209
_cell_length_b 4.7209
_cell_length_c 5.0220
_cell_angle_alpha 90.00
_cell_angle_beta 90.00
_cell_angle_gamma 90.00
loop_
_atom_site_label
_atom_site_type_symbol
_atom_site_fract_x
_atom_site_fract_y
_atom_site_fract_z
F1 F 0.0000 0.5000 0.0000
As1 As 0.5000 0.5000 0.5000
F2 F 0.5000 0.0000 0.0000
N1 N 0.0000 0.0000 0.5000
K1 K 0.0000 0.0000 0.0000



<B>
# KAsNF2, optimized geometry, DFT PBE
# spin magnetization: 0.00 μB per formula unit
data_KAsNF2
_space_group_name_H-M_alt 'P 1'
_space_group_IT_number 1
_space_group_name_Hall 'P 1'
_cell_length_a 4.5243
_cell_length_b 4.5243
_cell_length_c 3.6575
_cell_angle_alpha 90.00
_cell_angle_beta 90.00
_cell_angle_gamma 90.00
loop_
_atom_site_label
_atom_site_type_symbol
_atom_site_fract_x
_atom_site_fract_y
_atom_site_fract_z
F1 F 0.0000 0.5000 0.0000
F2 F 0.5000 0.0000 0.0000
As1 As 0.0000 0.0000 0.0000
N1 N 0.0000 0.0000 0.5000
K1 K 0.5000 0.5000 0.5000



Which one is most stable, and which one is least stable? <B> is the most stable of them, while <A> is the least stable.